DFT (PBE) results for an optimized crystal structure of Pr12NdHo6.

Geometry as extended XYZ:
```
19
Lattice="6.1199 3.5333 5.1506 -6.1199 3.5333 5.1506 0.0000 -7.0667 5.1506" Properties=species:S:1:pos:R:3 pbc="T T T"
Pr -2.1166 -0.0230 2.9704
Pr 1.0782 -1.8215 2.9704
Pr -2.1386 -0.5110 6.4341
Pr 1.0383 1.8445 2.9704
Pr -0.6268 -2.1076 9.0178
Pr 1.5119 -1.5966 6.4341
Pr -1.5119 1.5966 9.0178
Pr 0.6268 2.1076 6.4341
Pr -1.0383 -1.8445 12.4815
Pr 2.1386 0.5110 9.0178
Pr -1.0782 1.8215 12.4815
Pr 2.1166 0.0230 12.4815
Nd 0.0000 0.0000 0.0000
Ho -0.9672 -3.7029 5.4665
Ho -2.7232 2.6891 5.4665
Ho -3.6904 -1.0138 9.9854
Ho 3.6904 1.0138 5.4665
Ho 2.7232 -2.6891 9.9854
Ho 0.9672 3.7029 9.9854
```

Summary:
relative energy among the computed polymorphs	0	meV/atom
space-group type	R-3
magnetization	0.00	μB per formula unit
electronic total energy	-87.19	eV per formula unit
DOS at the Fermi energy	1.651	states/eV/atom
formation enthalpy at 0 K	0.13	eV per atom

=====

DFT (PBE) results for an optimized crystal structure of Pr3Nd4Ho5.

Geometry as extended XYZ:
```
12
Lattice="8.1028 -3.0123 0.0000 8.1028 3.0123 0.0000 -4.1712 0.0000 8.4620" Properties=species:S:1:pos:R:3 pbc="T T T"
Pr 0.0000 0.0000 0.0000
Pr 1.4931 0.0000 6.4781
Pr 10.5412 0.0000 1.9839
Nd 4.2206 0.0000 1.0006
Nd 4.4218 0.0000 4.6861
Nd 7.6126 0.0000 3.7759
Nd 7.8138 0.0000 7.4614
Ho -1.7594 0.0000 5.8961
Ho 1.1669 0.0000 3.2627
Ho 8.1028 0.0000 0.0000
Ho 10.8674 0.0000 5.1993
Ho 13.7937 0.0000 2.5659
```

Summary:
relative energy among the computed polymorphs	200	meV/atom
space-group type	C2/m
magnetization	0.00	μB per formula unit
electronic total energy	-53.70	eV per formula unit
DOS at the Fermi energy	1.582	states/eV/atom
formation enthalpy at 0 K	0.22	eV per atom

=====

DFT (PBE) results for an optimized crystal structure of Pr3NdHo8.

Geometry as extended XYZ:
```
12
Lattice="8.0927 -3.2196 0.0000 8.0927 3.2196 0.0000 -8.0558 0.0000 8.1048" Properties=species:S:1:pos:R:3 pbc="T T T"
Pr 0.0000 0.0000 0.0000
Pr -1.9994 0.0000 6.0740
Pr 10.1290 0.0000 2.0308
Nd 4.0648 0.0000 4.0524
Ho 3.4182 0.0000 0.6335
Ho 0.6483 0.0000 3.4209
Ho 6.0711 1.6121 2.0349
Ho 2.0586 1.6121 6.0699
Ho 6.0711 -1.6121 2.0349
Ho 2.0586 -1.6121 6.0699
Ho 7.4814 0.0000 4.6839
Ho 4.7114 0.0000 7.4713
```

Summary:
space-group type	C2/m
magnetization	0.00	μB per formula unit
electronic total energy	-52.32	eV per formula unit
DOS at the Fermi energy	1.323	states/eV/atom
formation enthalpy at 0 K	0.28	eV per atom

=====

DFT (PBE) results for an optimized crystal structure of PrNd3Ho4.

Geometry as extended XYZ:
```
8
Lattice="-1.7315 5.8598 6.6023 1.7315 -5.8598 6.6023 1.7315 5.8598 -6.6023" Properties=species:S:1:pos:R:3 pbc="T T T"
Pr 0.0000 0.0000 0.0000
Nd 1.7315 0.0000 3.1903
Nd 0.0000 0.0000 6.6023
Nd 0.0000 5.8598 3.4120
Ho 1.7315 -2.9340 4.8180
Ho 0.0000 2.9258 1.7842
Ho 1.7315 2.9340 4.8180
Ho 0.0000 8.7938 1.7842
```

Summary:
relative energy among the computed polymorphs	106	meV/atom
space-group type	Immm
magnetization	0.00	μB per formula unit
electronic total energy	-36.31	eV per formula unit
DOS at the Fermi energy	1.630	states/eV/atom
formation enthalpy at 0 K	0.14	eV per atom

=====

DFT (PBE) results for an optimized crystal structure of Pr4NdHo.

Geometry as extended XYZ:
```
6
Lattice="0.0000 4.7724 4.7724 4.7724 0.0000 4.7724 4.7724 4.7724 0.0000" Properties=species:S:1:pos:R:3 pbc="T T T"
Pr 1.1861 1.1861 1.1861
Pr 3.5863 3.5863 1.1861
Pr 3.5863 1.1861 3.5863
Pr 1.1861 3.5863 3.5863
Nd 4.7724 4.7724 4.7724
Ho 7.1586 7.1586 7.1586
```

Summary:
relative energy among the computed polymorphs	241	meV/atom
space-group type	F-43m
magnetization	0.00	μB per formula unit
electronic total energy	-26.92	eV per formula unit
DOS at the Fermi energy	1.781	states/eV/atom
formation enthalpy at 0 K	0.26	eV per atom

=====

DFT (PBE) results for an optimized crystal structure of Pr3Nd3Ho.

Geometry as extended XYZ:
```
14
Lattice="9.8361 0.0000 0.0000 -4.9181 8.5183 0.0000 0.0000 0.0000 5.9167" Properties=species:S:1:pos:R:3 pbc="T T T"
Pr -1.4055 4.0555 1.4792
Pr -0.7032 7.7078 1.4792
Pr 2.8094 3.2449 4.4375
Pr 2.1087 5.2734 1.4792
Pr 5.6212 0.8105 4.4375
Pr 6.3236 4.4629 4.4375
Nd -0.7200 2.0383 4.4375
Nd -2.7928 8.1228 4.4375
Nd 1.4052 1.6427 1.4792
Nd 3.5128 6.8756 4.4375
Nd 7.7109 0.3956 1.4792
Nd 5.6381 6.4800 1.4792
Ho 0.0000 5.6789 4.4375
Ho 4.9181 2.8394 1.4792
```

Summary:
relative energy among the computed polymorphs	0	meV/atom
space-group type	P6_3/m
magnetization	0.00	μB per formula unit
electronic total energy	-33.02	eV per formula unit
DOS at the Fermi energy	1.701	states/eV/atom
formation enthalpy at 0 K	0.03	eV per atom

=====

DFT (PBE) results for an optimized crystal structure of PrNd8Ho2.

Geometry as extended XYZ:
```
11
Lattice="8.5077 -3.4102 0.0000 8.5077 3.4102 0.0000 -1.1366 0.0000 6.6600" Properties=species:S:1:pos:R:3 pbc="T T T"
Pr 0.0000 0.0000 0.0000
Nd 6.3301 1.6195 3.9209
Nd 3.7937 0.0000 2.1026
Nd 9.5486 1.6195 2.7391
Nd 6.8148 0.0000 0.5703
Nd 9.0639 0.0000 6.0897
Nd 6.3301 -1.6195 3.9209
Nd 12.0850 0.0000 4.5574
Nd 9.5486 -1.6195 2.7391
Ho 2.5161 0.0000 5.3627
Ho 13.3626 0.0000 1.2973
```

Summary:
relative energy among the computed polymorphs	0	meV/atom
space-group type	C2/m
magnetization	0.00	μB per formula unit
electronic total energy	-50.29	eV per formula unit
DOS at the Fermi energy	1.663	states/eV/atom
formation enthalpy at 0 K	0.16	eV per atom

=====

DFT (PBE) results for an optimized crystal structure of Pr12Nd7Ho.

Geometry as extended XYZ:
```
20
Lattice="9.5318 5.5032 2.3399 -9.5318 5.5032 2.3399 0.0000 -11.0064 2.3399" Properties=species:S:1:pos:R:3 pbc="T T T"
Pr -7.4917 -1.9695 3.1985
Pr -2.0403 -7.4727 3.8210
Pr -4.9842 2.1284 2.9881
Pr -4.3354 -3.2523 4.0314
Pr 0.6489 -5.3807 2.9881
Pr -5.4515 5.5033 3.8210
Pr 5.4515 -5.5033 3.1985
Pr -0.6489 5.3807 4.0314
Pr 4.3354 3.2523 2.9881
Pr 4.9843 -2.1284 4.0314
Pr 2.0403 7.4727 3.1985
Pr 7.4917 1.9695 3.8210
Nd 0.0000 0.0000 0.0000
Nd -2.9001 -0.0977 1.9487
Nd 1.5347 -2.4627 1.9487
Nd 1.3655 2.5604 1.9487
Nd -1.3655 -2.5604 5.0709
Nd -1.5347 2.4627 5.0709
Nd 2.9001 0.0977 5.0709
Ho 0.0000 0.0000 3.5098
```

Summary:
relative energy among the computed polymorphs	50	meV/atom
space-group type	R-3
magnetization	0.00	μB per formula unit
electronic total energy	-90.10	eV per formula unit
DOS at the Fermi energy	1.279	states/eV/atom
formation enthalpy at 0 K	0.26	eV per atom

=====

DFT (PBE) results for an optimized crystal structure of Pr5NdHo2.

Geometry as extended XYZ:
```
16
Lattice="8.5020 -5.0679 0.0000 8.5020 5.0679 0.0000 -1.0812 0.0000 6.5461" Properties=species:S:1:pos:R:3 pbc="T T T"
Pr 7.6911 4.5040 4.9096
Pr 3.4125 0.8875 0.1236
Pr 2.8719 -0.8875 3.3966
Pr 5.9618 0.9700 5.6283
Pr 9.4204 0.9700 4.1909
Pr 6.5024 -0.9700 2.3552
Pr 9.9610 -0.9700 0.9178
Pr 13.0508 0.8875 3.1495
Pr 12.5102 -0.8875 6.4225
Pr 8.2317 -4.5040 1.6365
Nd 3.7104 2.5339 3.2730
Nd 4.2510 -2.5339 0.0000
Ho 6.7693 2.4846 2.4128
Ho 9.6940 2.4846 0.8603
Ho 6.2288 -2.4846 5.6858
Ho 9.1534 -2.4846 4.1333
```

Summary:
relative energy among the computed polymorphs	133	meV/atom
space-group type	C2/c
magnetization	0.00	μB per formula unit
electronic total energy	-36.66	eV per formula unit
DOS at the Fermi energy	1.648	states/eV/atom
formation enthalpy at 0 K	0.14	eV per atom

=====

DFT (PBE) results for an optimized crystal structure of Pr7NdHo4.

Geometry as extended XYZ:
```
12
Lattice="6.3765 0.0000 0.0000 0.0036 7.3570 0.0000 2.1197 0.0018 8.8117" Properties=species:S:1:pos:R:3 pbc="T T T"
Pr 0.0000 0.0000 0.0000
Pr 2.1313 3.6800 2.9486
Pr 3.2003 5.5345 5.8521
Pr 5.3019 1.8126 8.7874
Pr 3.1979 5.5463 0.0244
Pr 5.2995 1.8243 2.9596
Pr 6.3685 3.6788 5.8632
Nd 0.0018 3.6785 0.0000
Ho 2.1097 7.3568 2.9614
Ho 3.1814 1.8038 5.8696
Ho 5.3184 5.5550 2.9422
Ho 6.3901 0.0020 5.8504
```

Summary:
relative energy among the computed polymorphs	0	meV/atom
space-group type	P-1
magnetization	0.00	μB per formula unit
electronic total energy	-56.47	eV per formula unit
DOS at the Fermi energy	1.304	states/eV/atom
formation enthalpy at 0 K	0.01	eV per atom

=====

DFT (PBE) results for an optimized crystal structure of PrNd6Ho12.

Geometry as extended XYZ:
```
19
Lattice="5.5590 3.2095 5.8399 -5.5590 3.2095 5.8399 0.0000 -6.4189 5.8399" Properties=species:S:1:pos:R:3 pbc="T T T"
Pr 0.0000 0.0000 0.0000
Nd -3.3583 -1.9389 9.9440
Nd 0.0000 -3.8778 7.5757
Nd -3.3583 1.9389 7.5757
Nd 3.3583 -1.9389 9.9440
Nd 0.0000 3.8778 9.9440
Nd 3.3583 1.9389 7.5757
Ho 0.0000 -2.2056 4.4202
Ho -1.9101 1.1028 4.4202
Ho -1.7712 -1.0226 7.1657
Ho 1.9101 1.1028 4.4202
Ho 0.0000 -2.0452 10.3540
Ho -1.7712 1.0226 10.3540
Ho 1.7712 -1.0226 7.1657
Ho 0.0000 2.0453 7.1657
Ho -1.9101 -1.1028 13.0995
Ho 1.7712 1.0226 10.3540
Ho 1.9101 -1.1028 13.0995
Ho 0.0000 2.2056 13.0995
```

Summary:
relative energy among the computed polymorphs	0	meV/atom
space-group type	R-3m
magnetization	0.00	μB per formula unit
electronic total energy	-86.13	eV per formula unit
DOS at the Fermi energy	1.597	states/eV/atom
formation enthalpy at 0 K	0.12	eV per atom

=====

DFT (PBE) results for an optimized crystal structure of PrNd5Ho6.

Geometry as extended XYZ:
```
12
Lattice="3.1325 -5.4249 0.0000 3.1325 5.4249 0.0000 -2.0813 0.0000 11.6381" Properties=species:S:1:pos:R:3 pbc="T T T"
Pr 0.0000 0.0000 0.0000
Nd 2.0919 3.6166 5.8190
Nd 3.1325 1.8085 0.0000
Nd 2.0919 0.0000 5.8190
Nd 3.1325 -1.8085 0.0000
Nd 2.0919 -3.6166 5.8190
Ho 1.0427 1.8092 2.9128
Ho 0.0102 0.0000 8.7255
Ho 1.0427 -1.8092 2.9128
Ho 3.1410 1.8092 8.7253
Ho 4.1736 0.0000 2.9125
Ho 3.1410 -1.8092 8.7253
```

Summary:
relative energy among the computed polymorphs	0	meV/atom
space-group type	C2/m
magnetization	0.00	μB per formula unit
electronic total energy	-55.94	eV per formula unit
DOS at the Fermi energy	1.079	states/eV/atom
formation enthalpy at 0 K	0.01	eV per atom